Version 1
Nd2SO: relaxed, GGA-PBE.

a = 3.7809 Å, b = 3.7809 Å, c = 19.2234 Å
α = 90.00°, β = 90.00°, γ = 120.00°
Last column: nearest neighbours and their distance in Å.
Space group R-3m (No. 166, hexagonal axes)
One atom of each set of equivalent atoms:
Nd  0.0000  0.0000  0.2367  3 O 2.56, 3 S 2.87
S  0.0000  0.0000  0.0000  6 Nd 2.87
O  0.0000  0.0000  0.5000  6 Nd 2.56

* total magnetization: 0.0 μB/f.u.


Version 2
Nd2SO: relaxed, GGA-PBE.

a = 4.1314 Å, b = 4.1314 Å, c = 22.5151 Å
α = 90.00°, β = 90.00°, γ = 120.00°
Last column: nearest neighbours and their distance in Å.
Space group R-3m (No. 166, hexagonal axes)
One atom of each set of equivalent atoms:
Nd  0.0000  0.0000  0.0942  1 O 2.12
S  0.0000  0.0000  0.5000  6 Nd 2.89
O  0.0000  0.0000  0.0000  2 Nd 2.12

* total magnetization: 0.0 μB/f.u.


Most stable pick: version 1. Distance to second place: 33.2 kJ/mol of atoms.


Version 1
Nd4Sb2O: relaxed, GGA-PBE.

a = 6.6280 Å, b = 6.7949 Å, c = 9.3639 Å
α = 90.00°, β = 108.88°, γ = 90.00°
Last column: nearest neighbours and their distance in Å.
Space group P2_1/m (No. 11)
One atom of each set of equivalent atoms:
Nd  0.0324  0.0035  0.2966  1 O 2.29
Nd  0.3439  0.2500  0.0496  1 O 2.29
Nd  0.4335  0.2500  0.6564  1 O 2.29
Sb  0.1988  0.7500  0.0271  9 Nd 3.17-3.52
Sb  0.3320  0.7500  0.5977  8 Nd 3.24-3.47
O  0.2016  0.2500  0.7915  4 Nd 2.29

* total magnetization: 0.0 μB/f.u.


Version 2
Nd4Sb2O: relaxed, GGA-PBE.

a = 4.7174 Å, b = 4.7174 Å, c = 17.2443 Å
α = 90.00°, β = 90.00°, γ = 90.00°
Last column: nearest neighbours and their distance in Å.
Space group I4/mmm (No. 139)
One atom of each set of equivalent atoms:
Nd  0.0000  0.0000  0.1745  1 O 3.01, 1 Sb 3.21
Nd  0.0000  0.5000  0.0000  2 O 2.36
Sb  0.0000  0.0000  0.3609  9 Nd 3.21-3.39
O  0.0000  0.0000  0.0000  4 Nd 2.36

* total magnetization: 0.0 μB/f.u.


Most stable pick: version 2. Distance to second place: 3.5 kJ/mol of atoms.


Version 1
NdSbO: relaxed, GGA-PBE.

a = 4.5216 Å, b = 6.6496 Å, c = 10.4196 Å
α = 90.00°, β = 90.00°, γ = 90.00°
Last column: nearest neighbours and their distance in Å.
Space group P2_12_12_1 (No. 19)
One atom of each set of equivalent atoms:
Nd  0.0027  0.0309  0.0094  3 O 2.36-2.40
Sb  0.0022  0.6346  0.1859  1 O 2.25
O  0.0030  0.3816  0.0422  1 Sb 2.25, 3 Nd 2.36-2.40

* total magnetization: 0.0 μB/f.u.


Version 2
NdSbO: relaxed, GGA-PBE.

a = 3.9852 Å, b = 3.9852 Å, c = 16.7914 Å
α = 90.00°, β = 90.00°, γ = 90.00°
Last column: nearest neighbours and their distance in Å.
Space group I4/mmm (No. 139)
One atom of each set of equivalent atoms:
Nd  0.0000  0.0000  0.0845  4 O 2.45
Sb  0.0000  0.0000  0.2829  4 Sb 3.03, 1 Nd 3.33
O  0.0000  0.5000  0.0000  4 Nd 2.45

* total magnetization: 0.0 μB/f.u.


Most stable pick: version 1. Distance to second place: 3.1 kJ/mol of atoms.


Version 1
NdSc2O: relaxed, GGA-PBE.

a = 3.0113 Å, b = 3.0113 Å, c = 8.5504 Å
α = 90.00°, β = 90.00°, γ = 90.00°
Last column: nearest neighbours and their distance in Å.
Space group P4/mmm (No. 123)
One atom of each set of equivalent atoms:
Nd  0.0000  0.0000  0.0000  4 Nd 3.01
Sc  0.5000  0.5000  0.3351  4 O 2.55, 1 Sc 2.82
O  0.0000  0.0000  0.5000  8 Sc 2.55

* total magnetization: 1.3 μB/f.u.


Version 2
NdSc2O: relaxed, GGA-PBE.

a = 3.2694 Å, b = 3.2694 Å, c = 26.7050 Å
α = 90.00°, β = 90.00°, γ = 120.00°
Last column: nearest neighbours and their distance in Å.
Space group R-3m (No. 166, hexagonal axes)
One atom of each set of equivalent atoms:
Nd  0.0000  0.0000  0.0000  2 Sc 3.25, 6 Nd 3.27
Sc  0.0000  0.0000  0.1217  3 O 2.24
O  0.0000  0.0000  0.5000  6 Sc 2.24

* total magnetization: 0.0 μB/f.u.


Most stable pick: version 2. Distance to second place: 46.4 kJ/mol of atoms.


Version 1
SrNdScO4: relaxed, GGA-PBE.

a = 5.6999 Å, b = 12.3792 Å, c = 5.8882 Å
α = 90.00°, β = 90.00°, γ = 90.00°
Last column: nearest neighbours and their distance in Å.
Space group Cmc2_1 (No. 36)
One atom of each set of equivalent atoms:
Sr  0.0000  0.1043  0.0000  4 O 2.37-2.64
Nd  0.0000  0.3928  0.9746  4 O 2.28-2.50
Sc  0.0000  0.2460  0.4831  5 O 2.04-2.08
O  0.0000  0.0836  0.4195  1 Sc 2.04
O  0.0000  0.4305  0.5828  2 Nd 2.28-2.35, 1 Sc 2.36
O  0.2429  0.2755  0.2266  2 Sc 2.07-2.08

* total magnetization: 0.0 μB/f.u.


Version 2
SrNdScO4: relaxed, GGA-PBE.

a = 4.0351 Å, b = 4.0351 Å, c = 12.5737 Å
α = 90.00°, β = 90.00°, γ = 90.00°
Last column: nearest neighbours and their distance in Å.
Space group I4mm (No. 107)
One atom of each set of equivalent atoms:
Sr  0.0000  0.0000  0.0000  1 O 2.32
Nd  0.0000  0.0000  0.7144  5 O 2.32-2.58
Sc  0.0000  0.0000  0.3575  6 O 2.03-2.18
O  0.0000  0.0000  0.1842  1 Sc 2.18, 1 Sr 2.32
O  0.0000  0.0000  0.5302  1 Sc 2.17, 1 Nd 2.32
O  0.0000  0.5000  0.3421  2 Sc 2.03

* total magnetization: 0.0 μB/f.u.


Most stable pick: version 1. Distance to second place: 2.3 kJ/mol of atoms.


Version 1
Nd2SeO: relaxed, GGA-PBE.

a = 7.9980 Å, b = 6.4500 Å, c = 6.7567 Å
α = 90.00°, β = 92.48°, γ = 90.00°
Last column: nearest neighbours and their distance in Å.
Space group P2_1/c (No. 14)
One atom of each set of equivalent atoms:
Nd  0.0923  0.2407  0.4657  2 O 2.49-2.56
Nd  0.3263  0.7415  0.4949  2 O 2.55-2.61
Se  0.3800  0.1206  0.7370  6 Nd 2.96-3.01
O  0.1254  0.5786  0.7458  4 Nd 2.49-2.61

* total magnetization: 0.0 μB/f.u.


Version 2
Nd2SeO: relaxed, GGA-PBE.

a = 3.8351 Å, b = 3.8351 Å, c = 19.9303 Å
α = 90.00°, β = 90.00°, γ = 120.00°
Last column: nearest neighbours and their distance in Å.
Space group R-3m (No. 166, hexagonal axes)
One atom of each set of equivalent atoms:
Nd  0.0000  0.0000  0.2325  3 O 2.57
Se  0.0000  0.0000  0.0000  6 Nd 2.99
O  0.0000  0.0000  0.5000  6 Nd 2.57

* total magnetization: 0.0 μB/f.u.


Most stable pick: version 2. Distance to second place: 23.6 kJ/mol of atoms.